1.
Al4In: optimized geometry, PBE.

Calculated values
- total magnetic moment (μB/atom) = 0.000
- volume (Å³ per atom) = 28.23
- energy above the lowest structure with this stoichiometry (kJ/mol of formula units) = 408
- formation enthalpy at 0 K (eV per atom) = 0.970

Cell lengths 5.2068, 5.2068, 5.2068 Å; angles 90.00, 90.00, 90.00 degrees
With the nearest neighbours (Å) after each atom.
Space group Pm-3m (No. 221)
Symmetry-distinct sites (fractional):
Al: 0.0000 0.0000 0.0000 [1 per cell]  12 Al 3.68
Al: 0.0000 0.5000 0.5000 [3 per cell]  2 In 2.60
In: 0.5000 0.5000 0.5000 [1 per cell]  6 Al 2.60

=====

2.
LaMo: optimized geometry, PBE.

Calculated values
- total magnetic moment (μB/atom) = 1.225
- volume (Å³ per atom) = 30.38
- energy above the lowest structure with this stoichiometry (kJ/mol of formula units) = 334
- formation enthalpy at 0 K (eV per atom) = 1.972

Cell lengths 6.2405, 6.2405, 6.2405 Å; angles 90.00, 90.00, 90.00 degrees
With the nearest neighbours (Å) after each atom.
Space group F-43m (No. 216)
Symmetry-distinct sites (fractional):
La: 0.0000 0.0000 0.0000 [4 per cell]  4 Mo 2.70
Mo: 0.2500 0.2500 0.7500 [4 per cell]  4 La 2.70

=====

3.
KRh: optimized geometry, PBE.

Calculated values
- total magnetic moment (μB/atom) = 0.000
- volume (Å³ per atom) = 31.36
- energy above the lowest structure with this stoichiometry (kJ/mol of formula units) = 36
- formation enthalpy at 0 K (eV per atom) = 0.558

Cell lengths 5.2791, 11.1352, 4.2683 Å; angles 90.00, 90.00, 90.00 degrees
With the nearest neighbours (Å) after each atom.
Space group Cmcm (No. 63)
Symmetry-distinct sites (fractional):
K: 0.0000 0.1418 0.2500 [4 per cell]  7 Rh 3.37-3.56
Rh: 0.0000 0.4538 0.2500 [4 per cell]  2 Rh 2.37

=====

4.
Na3CdHg12: optimized geometry, PBE.

Calculated values
- total magnetic moment (μB/atom) = 0.000
- volume (Å³ per atom) = 25.96
- formation enthalpy at 0 K (eV per atom) = -0.131

Cell lengths 4.6975, 4.6975, 18.8213 Å; angles 90.00, 90.00, 90.00 degrees
With the nearest neighbours (Å) after each atom.
Space group P4/mmm (No. 123)
Symmetry-distinct sites (fractional):
Na: 0.0000 0.0000 0.0000 [1 per cell]  12 Hg 3.32-3.33
Na: 0.0000 0.0000 0.2521 [2 per cell]  12 Hg 3.30-3.35
Cd: 0.0000 0.0000 0.5000 [1 per cell]  12 Hg 3.32
Hg: 0.0000 0.5000 0.1251 [4 per cell]  8 Hg 3.32-3.33, 4 Na 3.33-3.35
Hg: 0.0000 0.5000 0.3751 [4 per cell]  2 Na 3.30, 8 Hg 3.32-3.33, 2 Cd 3.32
Hg: 0.5000 0.5000 0.0000 [1 per cell]  4 Na 3.32, 8 Hg 3.33
Hg: 0.5000 0.5000 0.2500 [2 per cell]  4 Na 3.32, 8 Hg 3.32-3.33
Hg: 0.5000 0.5000 0.5000 [1 per cell]  4 Cd 3.32, 8 Hg 3.32

=====

5.
CaLa5Hg6: optimized geometry, PBE.

Calculated values
- total magnetic moment (μB/atom) = 0.085
- volume (Å³ per atom) = 29.53
- formation enthalpy at 0 K (eV per atom) = -0.518

Cell lengths 5.4863, 16.4990, 7.8295 Å; angles 90.00, 90.00, 90.00 degrees
With the nearest neighbours (Å) after each atom.
Space group Cmmm (No. 65)
Symmetry-distinct sites (fractional):
Ca: 0.0000 0.0000 0.0000 [2 per cell]  8 Hg 3.32-3.36
La: 0.0000 0.0000 0.5000 [2 per cell]  8 Hg 3.37
La: 0.0000 0.3297 0.5000 [4 per cell]  8 Hg 3.38-3.43
La: 0.0000 0.3366 0.0000 [4 per cell]  8 Hg 3.33-3.43
Hg: 0.0000 0.1643 0.2449 [8 per cell]  1 Ca 3.32, 7 La 3.35-3.43
Hg: 0.0000 0.5000 0.2489 [4 per cell]  6 La 3.33-3.43, 2 Ca 3.36

=====

6.
Pa7Tl: optimized geometry, PBE.

Calculated values
- total magnetic moment (μB/atom) = 0.000
- volume (Å³ per atom) = 24.95
- formation enthalpy at 0 K (eV per atom) = 0.021

Cell lengths 9.2767, 9.2767, 9.2767 Å; angles 90.00, 90.00, 90.00 degrees
With the nearest neighbours (Å) after each atom.
Space group Fm-3m (No. 225)
Symmetry-distinct sites (fractional):
Pa: 0.0000 0.0000 0.0000 [4 per cell]  12 Pa 3.28
Pa: 0.0000 0.2500 0.2500 [24 per cell]  10 Pa 3.28, 2 Tl 3.28
Tl: 0.0000 0.0000 0.5000 [4 per cell]  12 Pa 3.28

=====

7.
Cd3In3Hg2: optimized geometry, PBE.

Calculated values
- total magnetic moment (μB/atom) = 0.000
- volume (Å³ per atom) = 25.62
- energy above the lowest structure with this stoichiometry (kJ/mol of formula units) = 0
- formation enthalpy at 0 K (eV per atom) = 0.022

Cell lengths 7.4758, 7.4758, 12.7027 Å; angles 90.00, 90.00, 120.00 degrees
With the nearest neighbours (Å) after each atom.
Space group R32 (No. 155, hexagonal axes)
Symmetry-distinct sites (fractional):
Cd: 0.0000 0.2382 0.0000 [9 per cell]  2 In 3.02, 2 Hg 3.05, 2 Cd 3.08
In: 0.0000 0.7460 0.5000 [9 per cell]  2 Cd 3.02, 2 Hg 3.09, 2 In 3.29
Hg: 0.0000 0.0000 0.2631 [6 per cell]  3 Cd 3.05, 3 In 3.09

=====

8.
KAlSi2: optimized geometry, PBE.

Calculated values
- total magnetic moment (μB/atom) = 0.000
- volume (Å³ per atom) = 20.03
- energy relative to the elements, uncorrected (meV per atom) = 341

Cell lengths 3.0123, 3.0123, 8.8290 Å; angles 90.00, 90.00, 90.00 degrees
With the nearest neighbours (Å) after each atom.
Space group P4/mmm (No. 123)
Symmetry-distinct sites (fractional):
K: 0.0000 0.0000 0.0000 [1 per cell]  4 K 3.01
Al: 0.0000 0.0000 0.5000 [1 per cell]  8 Si 2.74, 4 Al 3.01
Si: 0.5000 0.5000 0.3044 [2 per cell]  4 Al 2.74, 4 Si 3.01

=====

Q: total magnetic moment of number 8 (KAlSi2)?
A: 0.000 μB/atom

=====

Q: total magnetic moment of number 6 (Pa7Tl)?
A: 0.000 μB/atom

=====

Q: Which formula does entry 2 have?
A: LaMo

=====

Q: The highest volume belongs to which entry?
A: KRh